Version i
First-principles (PBE-GGA) data for crystalline Be2TlPd at its relaxed geometry, as listed in Alexandria.

## Properties
Symmetry: Fm-3m (225)

a b c (Å): 4.2761 4.2761 4.2761
angles (deg): 60.00 60.00 60.00
Closest atoms and distances in Å follow each position.
Sites, in units of the cell vectors:
Be 0.2500 0.2500 0.2500  4 Tl 2.62, 4 Pd 2.62
Be 0.7500 0.7500 0.7500  4 Tl 2.62, 4 Pd 2.62
Tl 0.5000 0.5000 0.5000  8 Be 2.62
Pd 0.0000 0.0000 0.0000  8 Be 2.62

Version ii
First-principles (PBE-GGA) data for crystalline Be2TlPd at its relaxed geometry, as listed in Alexandria.

## Properties
Symmetry: I4_1/amd (141)

a b c (Å): 4.3490 4.3490 8.3138
angles (deg): 74.84 74.84 90.00
Closest atoms and distances in Å follow each position.
Sites, in units of the cell vectors:
Be 0.3750 0.1250 0.2500  2 Be 2.17, 2 Pd 2.22
Be 0.3750 0.6250 0.2500  2 Be 2.17, 2 Pd 2.22
Be 0.3750 0.6250 0.7500  2 Be 2.17, 2 Pd 2.22
Be 0.8750 0.6250 0.7500  2 Be 2.17, 2 Pd 2.22
Tl 0.0000 0.0000 0.0000  4 Pd 3.08, 8 Be 3.10
Tl 0.7500 0.2500 0.5000  4 Pd 3.08, 8 Be 3.10
Pd 0.5000 0.5000 0.0000  4 Be 2.22
Pd 0.2500 0.7500 0.5000  4 Be 2.22

Stability comparison, relative energies in eV/atom: version i 0.000; version ii 0.101

Version i
First-principles (PBE-GGA) data for crystalline BeTlPd3 at its relaxed geometry, as listed in Alexandria.

## Properties
Symmetry: Pm-3m (221)

a b c (Å): 5.0185 5.0185 5.0185
angles (deg): 90.00 90.00 90.00
Closest atoms and distances in Å follow each position.
Sites, in units of the cell vectors:
Be 0.5000 0.5000 0.5000  12 Pd 3.55
Tl 0.0000 0.0000 0.0000  6 Pd 2.51
Pd 0.0000 0.5000 0.0000  2 Tl 2.51
Pd 0.0000 0.0000 0.5000  2 Tl 2.51
Pd 0.5000 0.0000 0.0000  2 Tl 2.51

Version ii
First-principles (PBE-GGA) data for crystalline BeTlPd3 at its relaxed geometry, as listed in Alexandria.

## Properties
Symmetry: Pm-3m (221)

a b c (Å): 4.3252 4.3252 4.3252
angles (deg): 90.00 90.00 90.00
Closest atoms and distances in Å follow each position.
Sites, in units of the cell vectors:
Be 0.0000 0.0000 0.0000  6 Pd 2.16
Tl 0.5000 0.5000 0.5000  12 Pd 3.06
Pd 0.0000 0.5000 0.0000  2 Be 2.16
Pd 0.0000 0.0000 0.5000  2 Be 2.16
Pd 0.5000 0.0000 0.0000  2 Be 2.16

Stability comparison, relative energies in eV/atom: version i 1.408; version ii 0.000

Version i
First-principles (PBE-GGA) data for crystalline TmBePd2 at its relaxed geometry, as listed in Alexandria.

## Properties
Symmetry: P4/mmm (123)

a b c (Å): 3.1541 3.1541 6.4285
angles (deg): 90.00 90.00 90.00
Closest atoms and distances in Å follow each position.
Sites, in units of the cell vectors:
Be 0.5000 0.5000 0.0000  8 Pd 2.60
Tm 0.5000 0.5000 0.5000  8 Pd 2.92, 4 Tm 3.15, 2 Be 3.21
Pd 0.0000 0.0000 0.7925  4 Be 2.60, 1 Pd 2.67
Pd 0.0000 0.0000 0.2075  4 Be 2.60, 1 Pd 2.67

Version ii
First-principles (PBE-GGA) data for crystalline TmBePd2 at its relaxed geometry, as listed in Alexandria.

## Properties
Symmetry: R-3m (166)

a b c (Å): 4.1136 4.1136 5.2577
angles (deg): 66.97 66.97 60.00
Closest atoms and distances in Å follow each position.
Sites, in units of the cell vectors:
Be 0.5000 0.5000 0.5000  6 Pd 2.47
Tm 0.0000 0.0000 0.0000  8 Pd 2.91-3.01
Pd 0.7862 0.7862 0.6413  3 Be 2.47, 3 Pd 2.72
Pd 0.2138 0.2138 0.3587  3 Be 2.47, 3 Pd 2.72

Stability comparison, relative energies in eV/atom: version i 0.063; version ii 0.000

Version i
First-principles (PBE-GGA) data for crystalline TmBePd3 at its relaxed geometry, as listed in Alexandria.

## Properties
Symmetry: Pm-3m (221)

a b c (Å): 4.3384 4.3384 4.3384
angles (deg): 90.00 90.00 90.00
Closest atoms and distances in Å follow each position.
Sites, in units of the cell vectors:
Be 0.0000 0.0000 0.0000  6 Pd 2.17
Tm 0.5000 0.5000 0.5000  12 Pd 3.07
Pd 0.0000 0.5000 0.0000  2 Be 2.17
Pd 0.0000 0.0000 0.5000  2 Be 2.17
Pd 0.5000 0.0000 0.0000  2 Be 2.17

Version ii
First-principles (PBE-GGA) data for crystalline TmBePd3 at its relaxed geometry, as listed in Alexandria.

## Properties
Symmetry: Cmmm (65)

a b c (Å): 3.4651 6.9436 6.9436
angles (deg): 108.13 90.00 90.00
Closest atoms and distances in Å follow each position.
Sites, in units of the cell vectors:
Tm 0.5000 0.7254 0.2746  11 Pd 2.93-3.12, 2 Be 3.07
Tm 0.5000 0.2746 0.7254  11 Pd 2.93-3.12, 2 Be 3.07
Be 0.5000 0.2886 0.2886  7 Pd 2.35-2.44
Be 0.5000 0.7114 0.7114  7 Pd 2.35-2.44
Pd 0.5000 0.0000 0.0000  2 Be 2.35
Pd 0.0000 0.0812 0.3403  2 Be 2.35
Pd 0.0000 0.9188 0.6597  2 Be 2.35
Pd 0.0000 0.6597 0.9188  2 Be 2.35
Pd 0.0000 0.5000 0.5000  4 Be 2.44
Pd 0.0000 0.3403 0.0812  2 Be 2.35

Stability comparison, relative energies in eV/atom: version i 0.062; version ii 0.000

Version i
First-principles (PBE-GGA) data for crystalline BeVPd4 at its relaxed geometry, as listed in Alexandria.

## Properties
Symmetry: C2/m (12)

a b c (Å): 4.0117 4.0216 6.9572
angles (deg): 73.16 73.24 60.08
Closest atoms and distances in Å follow each position.
Sites, in units of the cell vectors:
Be 0.0000 0.0000 0.0000  8 Pd 2.33-2.44
V 0.5000 0.5000 0.5000  8 Pd 2.51-2.54
Pd 0.6290 0.6292 0.1127  3 Be 2.43-2.44, 1 V 2.54
Pd 0.3710 0.3708 0.8873  3 Be 2.43-2.44, 1 V 2.54
Pd 0.1188 0.1173 0.6451  1 Be 2.33, 3 V 2.51
Pd 0.8812 0.8827 0.3549  1 Be 2.33, 3 V 2.51

Version ii
First-principles (PBE-GGA) data for crystalline BeVPd4 at its relaxed geometry, as listed in Alexandria.

## Properties
Symmetry: P4/mmm (123)

a b c (Å): 2.7788 2.7788 10.6118
angles (deg): 90.00 90.00 90.00
Closest atoms and distances in Å follow each position.
Sites, in units of the cell vectors:
Be 0.5000 0.5000 0.5000  8 Pd 2.41
V 0.0000 0.0000 0.0000  8 Pd 2.66, 4 V 2.78
Pd 0.5000 0.5000 0.1694  4 V 2.66, 8 Pd 2.78-2.88
Pd 0.0000 0.0000 0.6320  4 Be 2.41
Pd 0.0000 0.0000 0.3680  4 Be 2.41
Pd 0.5000 0.5000 0.8306  4 V 2.66, 8 Pd 2.78-2.88

Stability comparison, relative energies in eV/atom: version i 0.218; version ii 0.000

Version i
First-principles (PBE-GGA) data for crystalline BeV3Pd at its relaxed geometry, as listed in Alexandria.

## Properties
Symmetry: Pm-3m (221)

a b c (Å): 4.5707 4.5707 4.5707
angles (deg): 90.00 90.00 90.00
Closest atoms and distances in Å follow each position.
Sites, in units of the cell vectors:
Be 0.5000 0.5000 0.5000  12 V 3.23
Pd 0.0000 0.0000 0.0000  6 V 2.29
V 0.0000 0.5000 0.0000  2 Pd 2.29
V 0.0000 0.0000 0.5000  2 Pd 2.29
V 0.5000 0.0000 0.0000  2 Pd 2.29

Version ii
First-principles (PBE-GGA) data for crystalline BeV3Pd at its relaxed geometry, as listed in Alexandria.

## Properties
Symmetry: Pm-3m (221)

a b c (Å): 4.0968 4.0968 4.0968
angles (deg): 90.00 90.00 90.00
Closest atoms and distances in Å follow each position.
Sites, in units of the cell vectors:
Be 0.0000 0.0000 0.0000  6 V 2.05
Pd 0.5000 0.5000 0.5000  12 V 2.90
V 0.0000 0.5000 0.0000  2 Be 2.05
V 0.0000 0.0000 0.5000  2 Be 2.05
V 0.5000 0.0000 0.0000  2 Be 2.05

Stability comparison, relative energies in eV/atom: version i 1.047; version ii 0.000

Version i
First-principles (PBE-GGA) data for crystalline Be2V2Pd at its relaxed geometry, as listed in Alexandria.

## Properties
Symmetry: I4/mmm (139)

a b c (Å): 3.3456 3.3456 5.8940
angles (deg): 73.51 73.51 90.00
Closest atoms and distances in Å follow each position.
Sites, in units of the cell vectors:
Be 0.4091 0.4091 0.1817  1 Be 1.96
Be 0.5909 0.5909 0.8183  1 Be 1.96
Pd 0.0000 0.0000 0.0000  8 Be 2.56
V 0.7500 0.2500 0.5000  4 V 2.37, 4 Be 2.40
V 0.2500 0.7500 0.5000  4 V 2.37, 4 Be 2.40

Version ii
First-principles (PBE-GGA) data for crystalline Be2V2Pd at its relaxed geometry, as listed in Alexandria.

## Properties
Symmetry: P4/mbm (127)

a b c (Å): 5.8793 5.8793 3.3720
angles (deg): 90.00 90.00 90.00
Closest atoms and distances in Å follow each position.
Sites, in units of the cell vectors:
Be 0.3711 0.8711 0.0000  1 Be 2.14, 2 Pd 2.31
Be 0.8711 0.6289 0.0000  1 Be 2.14, 2 Pd 2.31
Be 0.6289 0.1289 0.0000  1 Be 2.14, 2 Pd 2.31
Be 0.1289 0.3711 0.0000  1 Be 2.14, 2 Pd 2.31
Pd 0.0000 0.0000 0.0000  4 Be 2.31
Pd 0.5000 0.5000 0.0000  4 Be 2.31
V 0.1628 0.6628 0.5000  6 Be 2.41-2.42
V 0.6628 0.8372 0.5000  6 Be 2.41-2.42
V 0.8372 0.3372 0.5000  6 Be 2.41-2.42
V 0.3372 0.1628 0.5000  6 Be 2.41-2.42

Stability comparison, relative energies in eV/atom: version i 0.268; version ii 0.000

Version i
First-principles (PBE-GGA) data for crystalline Be3PdW at its relaxed geometry, as listed in Alexandria.

## Properties
Symmetry: Pm-3m (221)

a b c (Å): 4.0316 4.0316 4.0316
angles (deg): 90.00 90.00 90.00
Closest atoms and distances in Å follow each position.
Sites, in units of the cell vectors:
Be 0.0000 0.5000 0.0000  2 Pd 2.02
Be 0.0000 0.0000 0.5000  2 Pd 2.02
Be 0.5000 0.0000 0.0000  2 Pd 2.02
Pd 0.0000 0.0000 0.0000  6 Be 2.02
W 0.5000 0.5000 0.5000  12 Be 2.85

Version ii
First-principles (PBE-GGA) data for crystalline Be3PdW at its relaxed geometry, as listed in Alexandria.

## Properties
Symmetry: Pm-3m (221)

a b c (Å): 4.2464 4.2464 4.2464
angles (deg): 90.00 90.00 90.00
Closest atoms and distances in Å follow each position.
Sites, in units of the cell vectors:
Be 0.0000 0.5000 0.0000  2 W 2.12
Be 0.0000 0.0000 0.5000  2 W 2.12
Be 0.5000 0.0000 0.0000  2 W 2.12
Pd 0.5000 0.5000 0.5000  12 Be 3.00
W 0.0000 0.0000 0.0000  6 Be 2.12

Stability comparison, relative energies in eV/atom: version i 0.000; version ii 0.594

Version i
First-principles (PBE-GGA) data for crystalline YBe2Pd2 at its relaxed geometry, as listed in Alexandria.

## Properties
Symmetry: P4/mbm (127)

a b c (Å): 7.1804 7.1804 2.9370
angles (deg): 90.00 90.00 90.00
Closest atoms and distances in Å follow each position.
Sites, in units of the cell vectors:
Y 0.0000 0.0000 0.0000  4 Pd 2.76, 2 Y 2.94
Y 0.5000 0.5000 0.0000  4 Pd 2.76, 2 Y 2.94
Be 0.1317 0.6317 0.5000  6 Pd 2.46-2.72, 1 Be 2.67
Be 0.6317 0.8683 0.5000  6 Pd 2.46-2.72, 1 Be 2.67
Be 0.8683 0.3683 0.5000  6 Pd 2.46-2.72, 1 Be 2.67
Be 0.3683 0.1317 0.5000  6 Pd 2.46-2.72, 1 Be 2.67
Pd 0.3566 0.8566 0.0000  6 Be 2.46-2.72
Pd 0.8566 0.6434 0.0000  6 Be 2.46-2.72
Pd 0.6434 0.1434 0.0000  6 Be 2.46-2.72
Pd 0.1434 0.3566 0.0000  6 Be 2.46-2.72

Version ii
First-principles (PBE-GGA) data for crystalline YBe2Pd2 at its relaxed geometry, as listed in Alexandria.

## Properties
Symmetry: I4/mmm (139)

a b c (Å): 3.9801 3.9801 5.5814
angles (deg): 110.89 110.89 90.00
Closest atoms and distances in Å follow each position.
Sites, in units of the cell vectors:
Y 0.5000 0.0000 0.5000  8 Be 3.05, 8 Pd 3.13
Be 0.8794 0.3794 0.2588  1 Be 2.33, 4 Pd 2.35
Be 0.1206 0.6206 0.7412  1 Be 2.33, 4 Pd 2.35
Pd 0.2500 0.2500 0.0000  4 Be 2.35
Pd 0.7500 0.7500 0.0000  4 Be 2.35

Version iii
First-principles (PBE-GGA) data for crystalline YBe2Pd2 at its relaxed geometry, as listed in Alexandria.

## Properties
Symmetry: I4/mmm (139)

a b c (Å): 3.9739 3.9739 5.7130
angles (deg): 69.65 69.65 90.00
Closest atoms and distances in Å follow each position.
Sites, in units of the cell vectors:
Y 0.0000 0.0000 0.0000  8 Pd 3.12, 8 Be 3.18
Be 0.7500 0.2500 0.5000  4 Pd 2.29
Be 0.2500 0.7500 0.5000  4 Pd 2.29
Pd 0.3637 0.3637 0.2727  4 Be 2.29
Pd 0.6363 0.6363 0.7273  4 Be 2.29

Stability comparison, relative energies in eV/atom: version i 0.253; version ii 0.000; version iii 0.025

Version i
First-principles (PBE-GGA) data for crystalline YBePd3 at its relaxed geometry, as listed in Alexandria.

## Properties
Symmetry: Pm-3m (221)

a b c (Å): 4.3703 4.3703 4.3703
angles (deg): 90.00 90.00 90.00
Closest atoms and distances in Å follow each position.
Sites, in units of the cell vectors:
Y 0.5000 0.5000 0.5000  12 Pd 3.09
Be 0.0000 0.0000 0.0000  6 Pd 2.19
Pd 0.0000 0.5000 0.0000  2 Be 2.19
Pd 0.0000 0.0000 0.5000  2 Be 2.19
Pd 0.5000 0.0000 0.0000  2 Be 2.19

Version ii
First-principles (PBE-GGA) data for crystalline YBePd3 at its relaxed geometry, as listed in Alexandria.

## Properties
Symmetry: Pm-3m (221)

a b c (Å): 5.0006 5.0006 5.0006
angles (deg): 90.00 90.00 90.00
Closest atoms and distances in Å follow each position.
Sites, in units of the cell vectors:
Y 0.0000 0.0000 0.0000  6 Pd 2.50
Be 0.5000 0.5000 0.5000  12 Pd 3.54
Pd 0.0000 0.5000 0.0000  2 Y 2.50
Pd 0.0000 0.0000 0.5000  2 Y 2.50
Pd 0.5000 0.0000 0.0000  2 Y 2.50

Stability comparison, relative energies in eV/atom: version i 0.000; version ii 1.691

Version i
First-principles (PBE-GGA) data for crystalline YBe3Pd at its relaxed geometry, as listed in Alexandria.

## Properties
Symmetry: Pm-3m (221)

a b c (Å): 4.7761 4.7761 4.7761
angles (deg): 90.00 90.00 90.00
Closest atoms and distances in Å follow each position.
Sites, in units of the cell vectors:
Y 0.0000 0.0000 0.0000  6 Be 2.39
Be 0.0000 0.5000 0.0000  2 Y 2.39
Be 0.0000 0.0000 0.5000  2 Y 2.39
Be 0.5000 0.0000 0.0000  2 Y 2.39
Pd 0.5000 0.5000 0.5000  12 Be 3.38

Version ii
First-principles (PBE-GGA) data for crystalline YBe3Pd at its relaxed geometry, as listed in Alexandria.

## Properties
Symmetry: Pm-3m (221)

a b c (Å): 4.2687 4.2687 4.2687
angles (deg): 90.00 90.00 90.00
Closest atoms and distances in Å follow each position.
Sites, in units of the cell vectors:
Y 0.5000 0.5000 0.5000  12 Be 3.02
Be 0.0000 0.5000 0.0000  2 Pd 2.13
Be 0.0000 0.0000 0.5000  2 Pd 2.13
Be 0.5000 0.0000 0.0000  2 Pd 2.13
Pd 0.0000 0.0000 0.0000  6 Be 2.13

Stability comparison, relative energies in eV/atom: version i 2.117; version ii 0.000

Version i
First-principles (PBE-GGA) data for crystalline BeZnPd at its relaxed geometry, as listed in Alexandria.

## Properties
Symmetry: Cmcm (63)

a b c (Å): 3.0390 3.9487 6.3960
angles (deg): 90.00 103.74 90.00
Closest atoms and distances in Å follow each position.
Sites, in units of the cell vectors:
Be 0.4386 0.2500 0.8772  6 Pd 2.37-2.51, 2 Be 2.50, 2 Zn 2.58
Be 0.5614 0.7500 0.1228  6 Pd 2.37-2.51, 2 Be 2.50, 2 Zn 2.58
Pd 0.9155 0.7500 0.8310  6 Be 2.37-2.51
Pd 0.0845 0.2500 0.1690  6 Be 2.37-2.51
Zn 0.7712 0.2500 0.5423  4 Zn 2.55, 2 Be 2.58, 4 Pd 2.67-2.77
Zn 0.2288 0.7500 0.4577  4 Zn 2.55, 2 Be 2.58, 4 Pd 2.67-2.77

Version ii
First-principles (PBE-GGA) data for crystalline BeZnPd at its relaxed geometry, as listed in Alexandria.

## Properties
Symmetry: P2_1/m (11)

a b c (Å): 3.5842 3.8033 5.7962
angles (deg): 90.00 107.89 90.00
Closest atoms and distances in Å follow each position.
Sites, in units of the cell vectors:
Be 0.2525 0.2500 0.5053  4 Pd 2.40-2.45, 4 Zn 2.49-2.62, 4 Be 2.61
Be 0.7475 0.7500 0.4947  4 Pd 2.40-2.45, 4 Zn 2.49-2.62, 4 Be 2.61
Zn 0.9099 0.2500 0.8202  4 Be 2.49-2.62, 4 Pd 2.62, 2 Zn 2.75
Zn 0.0901 0.7500 0.1798  4 Be 2.49-2.62, 4 Pd 2.62, 2 Zn 2.75
Pd 0.6080 0.2500 0.2155  4 Be 2.40-2.45, 4 Zn 2.62
Pd 0.3920 0.7500 0.7845  4 Be 2.40-2.45, 4 Zn 2.62

Version iii
First-principles (PBE-GGA) data for crystalline BeZnPd at its relaxed geometry, as listed in Alexandria.

## Properties
Symmetry: I4mm (107)

a b c (Å): 2.9230 2.9230 4.8620
angles (deg): 107.49 107.49 90.00
Closest atoms and distances in Å follow each position.
Sites, in units of the cell vectors:
Be 0.9379 0.9379 0.8759  4 Pd 2.38, 4 Zn 2.55
Zn 0.6077 0.6077 0.2153  4 Be 2.55, 5 Pd 2.67-2.70
Pd 0.3044 0.3044 0.6088  4 Be 2.38

Stability comparison, relative energies in eV/atom: version i 0.000; version ii 0.007; version iii 0.038